Density functional theory data (GGA-PBE) for RbRe2SbO8 after structural relaxation.

E_form (uncorrected): -138 kJ/mol of atoms
V: 241 Å³ per cell
N(E_F): 4.3 states/eV/cell

abc: 5.4748 5.4748 9.8174
angles: 73.81 73.81 60.00
Closest atoms and distances in Å follow each position.
Fractional positions:
O1 0.2559 0.8966 0.3376  1 Re 1.81
O2 0.3074 0.3074 0.0779  1 Re 1.77
O3 0.4900 0.1034 0.6624  1 Re 1.81
O4 0.8966 0.5100 0.3376  1 Re 1.81
O5 0.5100 0.2559 0.3376  1 Re 1.81
Rb1 0.0000 0.0000 0.0000  6 O 3.24
Re1 0.2440 0.2440 0.2679  4 O 1.77-1.81
O6 0.6926 0.6926 0.9221  1 Re 1.77
O7 0.7441 0.4900 0.6624  1 Re 1.81
Re2 0.7560 0.7560 0.7321  4 O 1.77-1.81
Sb1 0.5000 0.5000 0.5000  6 O 2.32
O8 0.1034 0.7441 0.6624  1 Re 1.81

---

Density functional theory data (GGA-PBE) for Rb2ReSbO6 after structural relaxation.

E_form (uncorrected): -139 kJ/mol of atoms
V: 182 Å³ per cell
N(E_F): 0.0 states/eV/cell

abc: 5.6008 5.6017 7.0153
angles: 66.48 66.48 90.00
Closest atoms and distances in Å follow each position.
Fractional positions:
O1 0.8373 0.8373 0.3255  1 Sb 1.88
O2 0.1627 0.1627 0.6745  1 Sb 1.88
O3 0.7317 0.2682 0.0000  1 Re 1.84
Re1 0.5000 0.5000 0.0000  4 O 1.84
Rb1 0.7500 0.2500 0.4999  4 O 2.98
O4 0.2684 0.7318 0.0000  1 Re 1.84
Sb1 0.0000 0.0000 0.0000  2 O 1.88
O5 0.2681 0.2684 0.0000  1 Re 1.84
Rb2 0.2499 0.7499 0.5001  4 O 2.98
O6 0.7319 0.7316 0.0000  1 Re 1.84

---

Density functional theory data (GGA-PBE) for RbScRe2O8 after structural relaxation.

E_form (uncorrected): -192 kJ/mol of atoms
V: 234 Å³ per cell
N(E_F): 7.9 states/eV/cell

abc: 5.8895 5.8895 7.7997
angles: 90.00 90.00 120.00
Closest atoms and distances in Å follow each position.
Fractional positions:
Rb1 0.0000 0.0000 0.0000  12 O 3.16-3.41
O1 0.8336 0.6654 0.3414  1 Re 1.80
O2 0.6654 0.8318 0.6586  1 Re 1.80
Re1 0.6667 0.3333 0.2628  4 O 1.76-1.80
Sc1 0.0000 0.0000 0.5000  6 O 2.11
O3 0.1664 0.3346 0.6586  1 Re 1.80
O4 0.8318 0.1664 0.3414  1 Re 1.80
O5 0.6667 0.3333 0.0365  1 Re 1.76
Re2 0.3333 0.6667 0.7372  4 O 1.76-1.80
O6 0.3333 0.6667 0.9635  1 Re 1.76
O7 0.3346 0.1682 0.3414  1 Re 1.80
O8 0.1682 0.8336 0.6586  1 Re 1.80

---

Density functional theory data (GGA-PBE) for Rb2ScRe3O12 after structural relaxation.

E_form (uncorrected): -186 kJ/mol of atoms
V: 285 Å³ per cell
N(E_F): 5.4 states/eV/cell

abc: 7.4280 7.4280 7.4280
angles: 59.32 59.32 59.32
Closest atoms and distances in Å follow each position.
Fractional positions:
Rb1 0.3794 0.3794 0.3794  6 O 3.25-3.31
O1 0.9335 0.3094 0.3094  2 Re 1.94
O2 0.9364 0.3323 0.9364  1 Re 1.85
O3 0.6906 0.0665 0.6906  2 Re 1.94
O4 0.6906 0.6906 0.0665  2 Re 1.94
O5 0.0636 0.6677 0.0636  1 Re 1.85
Re1 0.5000 0.0000 0.0000  6 O 1.85-1.94
O6 0.3094 0.9335 0.3094  2 Re 1.94
O7 0.9364 0.9364 0.3323  1 Re 1.85
Rb2 0.6206 0.6206 0.6206  6 O 3.25-3.31
O8 0.3094 0.3094 0.9335  2 Re 1.94
O9 0.6677 0.0636 0.0636  1 Re 1.85
Re2 0.0000 0.0000 0.5000  6 O 1.85-1.94
Sc1 0.0000 0.0000 0.0000  6 O 2.09
O10 0.3323 0.9364 0.9364  1 Re 1.85
O11 0.0665 0.6906 0.6906  2 Re 1.94
Re3 0.0000 0.5000 0.0000  6 O 1.85-1.94
O12 0.0636 0.0636 0.6677  1 Re 1.85

---

Density functional theory data (GGA-PBE) for RbRe2SiO after structural relaxation.

E_form (uncorrected): 117 kJ/mol of atoms
V: 90 Å³ per cell
N(E_F): 4.5 states/eV/cell

abc: 4.0956 5.3383 4.0956
angles: 90.00 90.00 90.00
Closest atoms and distances in Å follow each position.
Fractional positions:
Re1 0.0000 0.0000 0.5000  2 O 2.05
Rb1 0.5000 0.5000 0.5000  4 Si 2.90
Re2 0.5000 0.0000 0.0000  2 O 2.05
O1 0.0000 0.0000 0.0000  4 Re 2.05
Si1 0.0000 0.5000 0.0000  2 O 2.67, 4 Rb 2.90

---

Density functional theory data (GGA-PBE) for RbSmReO6 after structural relaxation.

E_form (uncorrected): -189 kJ/mol of atoms
V: 178 Å³ per cell

abc: 5.8853 5.9266 5.8741
angles: 90.84 91.68 60.23
Closest atoms and distances in Å follow each position.
Fractional positions:
O1 0.3708 0.5698 0.3010  1 Re 1.84
Re1 0.3182 0.3636 0.5000  6 O 1.84-1.97
Rb1 0.9978 0.0044 0.9999  6 O 2.97-3.16
O2 0.5756 0.0455 0.3442  1 Re 1.97, 1 O 2.19
O3 0.0473 0.3804 0.3072  1 Re 1.89
O4 0.5721 0.3806 0.6928  1 Re 1.89
Sm1 0.6797 0.6405 0.4999  6 O 2.26-2.35
O5 0.3789 0.0455 0.6558  1 Re 1.97, 1 O 2.19
O6 0.0593 0.5698 0.6990  1 Re 1.84

---

Density functional theory data (GGA-PBE) for Rb2SmReO6 after structural relaxation.

E_form (uncorrected): -209 kJ/mol of atoms
V: 155 Å³ per cell
N(E_F): 0.0 states/eV/cell

abc: 6.0316 6.0316 6.0317
angles: 120.00 120.00 90.00
Closest atoms and distances in Å follow each position.
Fractional positions:
Rb1 0.2499 0.7504 0.4999  12 O 3.02
Sm1 0.4999 0.5004 0.9998  6 O 2.35
O1 0.2239 0.2244 0.9998  1 Re 1.91
O2 0.7759 0.2244 0.9998  1 Re 1.91
Re1 0.9999 0.0004 0.9998  6 O 1.91
O3 0.2239 0.7764 0.9998  1 Re 1.91
O4 0.7759 0.7764 0.5518  1 Re 1.91
O5 0.7759 0.7764 0.9998  1 Re 1.91
Rb2 0.7499 0.2504 0.4999  12 O 3.02
O6 0.2238 0.2243 0.4477  1 Re 1.91

---

Density functional theory data (GGA-PBE) for RbReSnO6 after structural relaxation.

E_form (uncorrected): -154 kJ/mol of atoms
V: 161 Å³ per cell

abc: 5.4437 5.4438 6.2591
angles: 90.00 90.00 60.00
Closest atoms and distances in Å follow each position.
Fractional positions:
O1 0.6125 0.4131 0.6779  1 Re 1.91, 1 Sn 2.10
Rb1 0.0000 0.0000 0.0000  6 O 2.97
Sn1 0.3333 0.3333 0.5000  6 O 2.10
O2 0.4130 0.6125 0.3221  1 Re 1.91, 1 Sn 2.10
Re1 0.6666 0.6667 0.5000  6 O 1.91
O3 0.9744 0.4130 0.3221  1 Re 1.91, 1 Sn 2.10
O4 0.6125 0.9745 0.3221  1 Re 1.91, 1 Sn 2.10
O5 0.9744 0.6125 0.6779  1 Re 1.91, 1 Sn 2.10
O6 0.4130 0.9745 0.6779  1 Re 1.91, 1 Sn 2.10

---

Density functional theory data (GGA-PBE) for RbSrReO4 after structural relaxation.

E_form (uncorrected): -179 kJ/mol of atoms
V: 292 Å³ per cell
N(E_F): 3.0 states/eV/cell

abc: 6.6007 6.1014 7.5242
angles: 90.00 105.24 90.00
Closest atoms and distances in Å follow each position.
Fractional positions:
Re1 0.2706 0.7500 0.3389  4 O 1.77-1.94
O1 0.5687 0.2500 0.4319  1 Re 1.77
Re2 0.7294 0.2500 0.6611  4 O 1.77-1.94
Sr1 0.1897 0.2500 0.5207  5 O 2.49-2.75
O2 0.0357 0.9502 0.3031  1 Re 1.94
O3 0.9643 0.0498 0.6969  1 Re 1.94
O4 0.4173 0.7500 0.1710  1 Re 1.78
Rb1 0.2630 0.2500 0.0442  8 O 2.98-3.31
O5 0.4313 0.7500 0.5681  1 Re 1.77
O6 0.5827 0.2500 0.8290  1 Re 1.78
Sr2 0.8103 0.7500 0.4793  5 O 2.49-2.75
O7 0.9643 0.4502 0.6969  1 Re 1.94
O8 0.0357 0.5498 0.3031  1 Re 1.94
Rb2 0.7370 0.7500 0.9558  8 O 2.98-3.31

---

Density functional theory data (GGA-PBE) for Rb3SrRe2O8 after structural relaxation.

E_form (uncorrected): -175 kJ/mol of atoms
V: 286 Å³ per cell
N(E_F): 9.1 states/eV/cell

abc: 6.3570 6.3570 8.1586
angles: 90.00 90.00 120.00
Closest atoms and distances in Å follow each position.
Fractional positions:
Re1 0.3333 0.6667 0.2221  4 O 1.79-1.85
O1 0.8206 0.6413 0.6870  1 Re 1.85
Rb1 0.3333 0.6667 0.6694  1 O 2.72
O2 0.3333 0.6667 0.0027  1 Re 1.79
O3 0.6413 0.8206 0.3130  1 Re 1.85
Re2 0.6667 0.3333 0.7779  4 O 1.79-1.85
Rb2 0.0000 0.0000 0.0000  6 O 3.23
Sr1 0.0000 0.0000 0.5000  6 O 2.50
O4 0.8206 0.1794 0.6870  1 Re 1.85
Rb3 0.6667 0.3333 0.3306  1 O 2.72
O5 0.1794 0.3587 0.3130  1 Re 1.85
O6 0.3587 0.1794 0.6870  1 Re 1.85
O7 0.6667 0.3333 0.9973  1 Re 1.79
O8 0.1794 0.8206 0.3130  1 Re 1.85

---

Density functional theory data (GGA-PBE) for RbSr2ReO6 after structural relaxation.

E_form (uncorrected): -211 kJ/mol of atoms
V: 175 Å³ per cell
N(E_F): 0.0 states/eV/cell

abc: 6.1209 6.1207 6.4358
angles: 61.60 61.60 60.00
Closest atoms and distances in Å follow each position.
Fractional positions:
Sr1 0.5284 0.5284 0.4147  6 O 2.53-2.57
Sr2 0.0151 0.0151 0.9546  6 O 2.40-2.64
O1 0.1743 0.3699 0.7941  1 Re 1.94
O2 0.0044 0.5295 0.2079  1 Re 1.89
Rb1 0.7942 0.7942 0.6173  3 O 2.67
Re1 0.3258 0.3258 0.0227  6 O 1.89-1.94
O3 0.3699 0.6616 0.7941  1 Re 1.94
O4 0.2582 0.0044 0.2078  1 Re 1.89
O5 0.6616 0.1743 0.7941  1 Re 1.94
O6 0.5295 0.2582 0.2078  1 Re 1.89

---

Density functional theory data (GGA-PBE) for Rb2TbReO6 after structural relaxation.

E_form (uncorrected): -211 kJ/mol of atoms
V: 150 Å³ per cell

abc: 5.9697 5.9697 5.9697
angles: 120.00 120.00 90.00
Closest atoms and distances in Å follow each position.
Fractional positions:
O1 0.2263 0.2268 0.4526  1 Re 1.91
Tb1 0.4999 0.5004 0.9998  6 O 2.31
O2 0.7735 0.2268 0.9998  1 Re 1.91
O3 0.2263 0.2268 0.9997  1 Re 1.91
Rb1 0.2499 0.7504 0.4999  12 O 2.99
O4 0.7735 0.7740 0.5469  1 Re 1.91
O5 0.7735 0.7739 0.9998  1 Re 1.91
Re1 0.9999 0.0004 0.9998  6 O 1.91
Rb2 0.7499 0.2504 0.4999  12 O 2.99
O6 0.2263 0.7739 0.9998  1 Re 1.91

---

Density functional theory data (GGA-PBE) for RbTbReO6 after structural relaxation.

E_form (uncorrected): -193 kJ/mol of atoms
V: 174 Å³ per cell

abc: 5.7903 5.8443 5.9339
angles: 90.88 91.79 60.32
Closest atoms and distances in Å follow each position.
Fractional positions:
O1 0.5739 0.3846 0.6912  1 Re 1.89
O2 0.0413 0.3845 0.3089  1 Re 1.89
Tb1 0.6794 0.6411 0.4999  6 O 2.22-2.30
Re1 0.3183 0.3631 0.5001  6 O 1.84-1.97
O3 0.3749 0.5704 0.3030  1 Re 1.84
Rb1 0.9982 0.0047 0.9997  6 O 2.96-3.16
O4 0.5772 0.0408 0.3456  1 Re 1.97, 1 O 2.18
O5 0.0545 0.5702 0.6971  1 Re 1.84
O6 0.3820 0.0406 0.6545  1 Re 1.97, 1 O 2.18

---

Density functional theory data (GGA-PBE) for RbTb2ReO8 after structural relaxation.

E_form (uncorrected): -218 kJ/mol of atoms
V: 189 Å³ per cell

abc: 5.4004 5.2236 7.2550
angles: 71.98 95.85 103.66
Closest atoms and distances in Å follow each position.
Fractional positions:
Re1 0.0000 0.0000 0.0000  6 O 1.88-1.93
O1 0.7327 0.0723 0.1155  1 Re 1.90
Tb1 0.4442 0.6485 0.1863  7 O 2.24-2.47
O2 0.2548 0.2916 0.0625  1 Re 1.93
O3 0.5291 0.6449 0.5082  1 O 1.51
Tb2 0.5558 0.3515 0.8137  7 O 2.24-2.47
Rb1 0.0000 0.0000 0.5000  6 O 2.76-2.97
O4 0.2673 0.9277 0.8845  1 Re 1.90
O5 0.4709 0.3551 0.4918  1 O 1.51
O6 0.7452 0.7084 0.9375  1 Re 1.93
O7 0.0742 0.7418 0.2318  1 Re 1.88
O8 0.9258 0.2582 0.7682  1 Re 1.88

---

Density functional theory data (GGA-PBE) for Rb2TbRe3O12 after structural relaxation.

E_form (uncorrected): -186 kJ/mol of atoms
V: 299 Å³ per cell
N(E_F): 5.1 states/eV/cell

abc: 7.6147 7.6147 7.6147
angles: 58.18 58.18 58.18
Closest atoms and distances in Å follow each position.
Fractional positions:
Tb1 0.0000 0.0000 0.0000  6 O 2.26
Re1 0.5000 0.0000 0.0000  6 O 1.86-1.94
O1 0.9263 0.9263 0.3566  1 Re 1.86
O2 0.0709 0.6973 0.6973  2 Re 1.94
O3 0.0737 0.6434 0.0737  1 Re 1.86
Rb1 0.6169 0.6169 0.6169  9 O 3.32-3.61
Rb2 0.3831 0.3831 0.3831  9 O 3.32-3.61
Re2 0.0000 0.5000 0.0000  6 O 1.86-1.94
O4 0.9291 0.3027 0.3027  2 Re 1.94
O5 0.6973 0.0709 0.6973  2 Re 1.94
O6 0.6973 0.6973 0.0709  2 Re 1.94
O7 0.3566 0.9263 0.9263  1 Re 1.86
O8 0.3027 0.3027 0.9291  2 Re 1.94
O9 0.3027 0.9291 0.3027  2 Re 1.94
O10 0.0737 0.0737 0.6434  1 Re 1.86
O11 0.9263 0.3566 0.9263  1 Re 1.86
Re3 0.0000 0.0000 0.5000  6 O 1.86-1.94
O12 0.6434 0.0737 0.0737  1 Re 1.86

---

Density functional theory data (GGA-PBE) for RbTbRe2O8 after structural relaxation.

E_form (uncorrected): -194 kJ/mol of atoms
V: 253 Å³ per cell
N(E_F): 6.1 states/eV/cell

abc: 6.0559 6.0559 7.9588
angles: 90.00 90.00 120.00
Closest atoms and distances in Å follow each position.
Fractional positions:
O1 0.3422 0.1713 0.3261  1 Re 1.81
O2 0.1709 0.3422 0.6739  1 Re 1.81
O3 0.1713 0.8291 0.6739  1 Re 1.81
O4 0.8287 0.1709 0.3261  1 Re 1.81
O5 0.6578 0.8287 0.6739  1 Re 1.81
Rb1 0.0000 0.0000 0.0000  12 O 3.16-3.50
Tb1 0.0000 0.0000 0.5000  6 O 2.27
Re1 0.6667 0.3333 0.2485  4 O 1.76-1.81
O6 0.6667 0.3333 0.0267  1 Re 1.76
O7 0.8291 0.6578 0.3261  1 Re 1.81
O8 0.3333 0.6667 0.9733  1 Re 1.76
Re2 0.3333 0.6667 0.7515  4 O 1.76-1.81

---

Density functional theory data (GGA-PBE) for RbReTe2O after structural relaxation.

E_form (uncorrected): -40 kJ/mol of atoms
V: 128 Å³ per cell
N(E_F): 3.1 states/eV/cell

abc: 5.8091 3.7788 5.8091
angles: 90.00 90.00 90.00
Closest atoms and distances in Å follow each position.
Fractional positions:
Rb1 0.5000 0.5000 0.5000  8 Te 3.47, 2 Rb 3.78
Te1 0.5000 0.0000 0.0000  2 Re 2.90
O1 0.0000 0.5000 0.0000  2 Re 1.89
Te2 0.0000 0.0000 0.5000  2 Re 2.90
Re1 0.0000 0.0000 0.0000  2 O 1.89

---

Density functional theory data (GGA-PBE) for RbReTeO6 after structural relaxation.

E_form (uncorrected): -138 kJ/mol of atoms
V: 163 Å³ per cell

abc: 5.4732 5.4702 6.2786
angles: 90.01 90.00 60.06
Closest atoms and distances in Å follow each position.
Fractional positions:
O1 0.4088 0.9750 0.6781  1 Re 1.93, 1 Te 2.11
Rb1 0.0001 0.0000 0.0000  6 O 2.97
O2 0.9749 0.6163 0.6782  1 Re 1.92, 1 Te 2.11
O3 0.9747 0.4092 0.3217  1 Re 1.93, 1 Te 2.11
Re1 0.6670 0.6667 0.5000  6 O 1.92-1.93
O4 0.4082 0.6162 0.3221  1 Re 1.93, 1 Te 2.11
O5 0.6162 0.9755 0.3219  1 Re 1.93, 1 Te 2.11
Te1 0.3335 0.3334 0.4999  6 O 2.11
O6 0.6163 0.4079 0.6778  1 Re 1.93, 1 Te 2.11

---

Density functional theory data (GGA-PBE) for RbThReO6 after structural relaxation.

E_form (uncorrected): -222 kJ/mol of atoms
V: 327 Å³ per cell

abc: 8.0724 7.6483 7.6751
angles: 119.88 121.73 90.00
Closest atoms and distances in Å follow each position.
Fractional positions:
O1 0.2103 0.3693 0.7498  1 Re 1.88
O2 0.7897 0.6307 0.2502  1 Re 1.88
Re1 0.5000 0.5000 0.0000  6 O 1.88-1.91
Rb1 0.1503 0.4003 0.3006  10 O 3.32-3.66
O3 0.8367 0.0867 0.6734  2 Th 2.22
Th1 0.5000 0.0000 0.5000  6 O 2.22-2.39
O4 0.4963 0.7463 0.9925  2 Re 1.91
O5 0.1633 0.9133 0.3266  2 Th 2.22
O6 0.5395 0.3693 0.7498  1 Re 1.88
Rb2 0.8497 0.5997 0.6994  10 O 3.32-3.66
Re2 0.5000 0.0000 0.0000  6 O 1.88-1.91
O7 0.4605 0.1195 0.2502  1 Re 1.88
O8 0.5395 0.8805 0.7498  1 Re 1.88
Th2 0.0000 0.0000 0.5000  6 O 2.22-2.39
O9 0.2103 0.8805 0.7498  1 Re 1.88
O10 0.5037 0.2537 0.0075  2 Re 1.91
O11 0.4605 0.6307 0.2502  1 Re 1.88
O12 0.7897 0.1195 0.2502  1 Re 1.88

---

Density functional theory data (GGA-PBE) for Rb2ThReO6 after structural relaxation.

E_form (uncorrected): -219 kJ/mol of atoms
V: 166 Å³ per cell
N(E_F): 1.8 states/eV/cell

abc: 4.6136 5.9935 5.9935
angles: 90.00 90.00 90.00
Closest atoms and distances in Å follow each position.
Fractional positions:
O1 0.6584 0.2216 0.7784  1 Re 1.93
O2 0.1881 0.0000 0.0000  1 Re 1.74
Rb1 0.1282 0.5000 0.0000  12 O 3.00-3.25
O3 0.6584 0.2216 0.2216  1 Re 1.93
Rb2 0.1282 0.0000 0.5000  12 O 3.00-3.25
Th1 0.6507 0.5000 0.5000  6 O 2.30-2.36
O4 0.6584 0.7784 0.2216  1 Re 1.93
O5 0.1521 0.5000 0.5000  2 Th 2.30-2.31
O6 0.6584 0.7784 0.7784  1 Re 1.93
Re1 0.5660 0.0000 0.0000  5 O 1.74-1.93